[1]
## Rb4U3SiN8 (GGA-PBE)

Data for Rb4U3SiN8 after structural relaxation.

a = 7.7759 Å, b = 7.7759 Å, c = 7.7759 Å
α = 53.81°, β = 53.81°, γ = 53.81°
Last column: nearest neighbours and their distance in Å.
Sites, in units of the cell vectors:
Rb (0.0000, 0.0000, 0.0000)  6 N 2.97
Rb (0.0000, 0.5000, 0.5000)  6 N 3.03-3.15
Rb (0.5000, 0.0000, 0.5000)  6 N 3.03-3.15
Rb (0.5000, 0.5000, 0.0000)  6 N 3.03-3.15
U (0.0000, 0.0000, 0.5000)  6 N 2.19-2.29
U (0.0000, 0.5000, 0.0000)  6 N 2.19-2.29
U (0.5000, 0.0000, 0.0000)  6 N 2.19-2.29
Si (0.5000, 0.5000, 0.5000)  6 N 2.43
N (0.1868, 0.7315, 0.7315)  2 U 2.19, 1 Si 2.43
N (0.2202, 0.2202, 0.2202)  3 U 2.29
N (0.2685, 0.2685, 0.8132)  2 U 2.19, 1 Si 2.43
N (0.2685, 0.8132, 0.2685)  2 U 2.19, 1 Si 2.43
N (0.7315, 0.1868, 0.7315)  2 U 2.19, 1 Si 2.43
N (0.7315, 0.7315, 0.1868)  2 U 2.19, 1 Si 2.43
N (0.7798, 0.7798, 0.7798)  3 U 2.29
N (0.8132, 0.2685, 0.2685)  2 U 2.19, 1 Si 2.43

Values from the calculation:
* DOS at the Fermi energy: 1.7 states/eV/cell
* crystal system: trigonal
* energy relative to the elements, uncorrected: -0.628 eV/atom


[2]
## GaFeAg2Bi (GGA-PBE)

Data for GaFeAg2Bi after structural relaxation.

a = 4.9436 Å, b = 4.9436 Å, c = 4.6243 Å
α = 90.00°, β = 90.00°, γ = 90.00°
Last column: nearest neighbours and their distance in Å.
Sites, in units of the cell vectors:
Ga (0.0000, 0.0000, 0.0000)  2 Fe 2.31
Fe (0.0000, 0.0000, 0.5000)  2 Ga 2.31, 4 Ag 2.47
Ag (0.0000, 0.5000, 0.5000)  2 Fe 2.47
Ag (0.5000, 0.0000, 0.5000)  2 Fe 2.47
Bi (0.5000, 0.5000, 0.0000)  8 Ag 3.38, 4 Ga 3.50

Values from the calculation:
* DOS at the Fermi energy: 3.1 states/eV/cell
* crystal system: tetragonal
* energy of formation: 0.57 eV/atom